This record from Alexandria via LeMat-Bulk describes a geometry-optimized Al2GaAgF structure. The functional is PBE.

Computed properties:
The total energy comes out at -3.2515 eV per atom. As for the total magnetization: 0.00 μB per formula unit. For the calculated density, the calculation gives 4.47 Mg/m³. As for the space group: P4/mmm, No. 123. The formation energy without anion corrections is -20 kJ per mole of atoms.

a b c (Å): 4.374 4.868 4.374
angles (deg): 90.00 90.00 90.00
Atoms (fractional coordinates):
F 0.000 0.000 0.000
Ga 0.000 0.500 0.000
Ag 0.500 0.500 0.500
Al 0.000 0.000 0.500
Al 0.500 0.000 0.000


This record from Alexandria via LeMat-Bulk describes a geometry-optimized AlAgGe2F structure. The functional is PBE.

Computed properties:
The total energy comes out at -3.9669 eV per atom. As for the total magnetization: 0.00 μB per formula unit. For the calculated density, the calculation gives 5.30 Mg/m³. As for the space group: P4/mmm, No. 123. The formation energy without anion corrections is -41 kJ per mole of atoms.

a b c (Å): 5.132 3.559 5.132
angles (deg): 90.00 90.00 90.00
Atoms (fractional coordinates):
Ge 0.000 0.000 0.500
Ge 0.500 0.000 0.000
Al 0.000 0.000 0.000
Ag 0.500 0.500 0.500
F 0.000 0.500 0.000


This record from Alexandria via LeMat-Bulk describes a geometry-optimized HfAl2AgF structure. The functional is PBE.

Computed properties:
The total energy comes out at -3.5710 eV per atom. As for the total magnetization: 0.00 μB per formula unit. For the calculated density, the calculation gives 3.81 Mg/m³. As for the space group: P4/mmm, No. 123. The formation energy without anion corrections is 83 kJ per mole of atoms.

a b c (Å): 5.466 5.243 5.466
angles (deg): 90.00 90.00 90.00
Atoms (fractional coordinates):
Hf 0.000 0.000 0.000
Al 0.000 0.000 0.500
Al 0.500 0.000 0.000
Ag 0.000 0.500 0.000
F 0.500 0.500 0.500